No. 1
Compound: Zn7PdPt3
Source: the Alexandria database
Functional: PBE
Structure: optimized geometry Values from VASP.

Geometry as Quantum ESPRESSO input:
```
&SYSTEM
  ibrav = 0, nat = 22, ntyp = 3
/
ATOMIC_SPECIES
Zn 65.41 Zn.upf
Pd 106.42 Pd.upf
Pt 195.08 Pt.upf
ATOMIC_POSITIONS crystal
Zn 0.0144 0.9856 0.6167
Zn 0.0144 0.9856 0.8833
Zn 0.0964 0.9036 0.2500
Zn 0.1599 0.8401 0.5955
Zn 0.1599 0.8401 0.9045
Zn 0.2968 0.7032 0.6051
Zn 0.2968 0.7032 0.8949
Zn 0.7032 0.2968 0.1051
Zn 0.7032 0.2968 0.3949
Zn 0.8401 0.1599 0.0955
Zn 0.8401 0.1599 0.4045
Zn 0.9036 0.0964 0.7500
Zn 0.9856 0.0144 0.1167
Zn 0.9856 0.0144 0.3833
Pd 0.4103 0.5897 0.2500
Pd 0.5897 0.4103 0.7500
Pt 0.2724 0.7276 0.2500
Pt 0.4139 0.5861 0.5489
Pt 0.4139 0.5861 0.9511
Pt 0.5861 0.4139 0.0489
Pt 0.5861 0.4139 0.4511
Pt 0.7276 0.2724 0.7500
CELL_PARAMETERS angstrom
1.4140 -10.9260 0.0000
1.4140 10.9260 0.0000
0.0000 0.0000 10.9351
```

The calculation puts the theoretical density at 11.3 Mg/m³. The symmetry is Cmcm. The value obtained for the formation energy is -443.1 meV per atom.

No. 2
Compound: CsUI6
Source: the Alexandria database
Functional: PBE
Structure: optimized geometry Values from VASP.

Geometry as Quantum ESPRESSO input:
```
&SYSTEM
  ibrav = 0, nat = 8, ntyp = 3
/
ATOMIC_SPECIES
Cs 132.91 Cs.upf
U 238.03 U.upf
I 126.90 I.upf
ATOMIC_POSITIONS crystal
Cs 0.0000 0.0000 0.0000
U 0.5000 0.5000 0.5000
I 0.0935 0.5908 0.5908
I 0.4092 0.4092 0.9065
I 0.4092 0.9065 0.4092
I 0.5908 0.0935 0.5908
I 0.5908 0.5908 0.0935
I 0.9065 0.4092 0.4092
CELL_PARAMETERS angstrom
4.1616 2.4027 7.5632
-4.1616 2.4027 7.5632
0.0000 -4.8055 7.5632
```

The calculation puts the theoretical density at 4.1 Mg/m³. The symmetry is R-3m. The formation energy from raw total energies is -742 kJ/mol of formula units.

No. 3
Compound: Al8Ga2Pd
Source: the Alexandria database
Functional: PBE
Structure: optimized geometry Values from VASP.

Geometry as Quantum ESPRESSO input:
```
&SYSTEM
  ibrav = 0, nat = 11, ntyp = 3
/
ATOMIC_SPECIES
Al 26.98 Al.upf
Ga 69.72 Ga.upf
Pd 106.42 Pd.upf
ATOMIC_POSITIONS crystal
Al 0.0431 0.0431 0.2283
Al 0.1355 0.1355 0.6751
Al 0.3212 0.3212 0.5903
Al 0.4124 0.4124 0.0585
Al 0.5876 0.5876 0.9415
Al 0.6788 0.6788 0.4097
Al 0.8645 0.8645 0.3249
Al 0.9569 0.9569 0.7717
Ga 0.2205 0.2205 0.1335
Ga 0.7795 0.7795 0.8665
Pd 0.5000 0.5000 0.5000
CELL_PARAMETERS angstrom
7.2666 -2.0524 0.0000
7.2666 2.0524 0.0000
-1.7354 0.0000 6.0170
```

The calculation puts the theoretical density at 4.3 Mg/m³. The symmetry is C2/m. The value obtained for the formation energy is -125.4 meV per atom.

- Look up the theoretical density of the first one.
  11.3 Mg/m³

- Which value of theoretical density does entry 1 give?
  11.3 Mg/m³